[1]
Entry from Alexandria via LeMat-Bulk: TePt2 after structural relaxation (PBE).

The structure in POSCAR format:
```
TePt2
1.0
1.996 -8.163 0.000
1.996 8.163 0.000
0.000 0.000 3.990
Te Pt
2 4
Direct
0.172 0.828 0.750
0.828 0.172 0.250
0.061 0.939 0.250
0.432 0.568 0.250
0.568 0.432 0.750
0.939 0.061 0.750
```

Summary:
The value obtained for the density of states at the Fermi level is 0.753 states/eV per atom. The uncorrected energy comes out at -5.2419 eV per atom. The total magnetic moment is 0.00 μB per formula unit. The space-group type is No. 63.

[2]
Entry from Alexandria via LeMat-Bulk: Te2Pt after structural relaxation (PBE).

The structure in POSCAR format:
```
Te2Pt
1.0
0.000 3.389 3.389
3.389 0.000 3.389
3.389 3.389 0.000
Te Pt
2 1
Direct
0.250 0.250 0.250
0.750 0.750 0.750
0.000 0.000 0.000
```

Summary:
The value obtained for the density of states at the Fermi level is 1.014 states/eV per atom. The uncorrected energy comes out at -4.0582 eV per atom. The total magnetic moment is 0.00 μB per formula unit. The space-group type is No. 225.